1) # Li2NiP5O15, optimized geometry, DFT GGA+U
# total magnetization: 11.51 μB per cell
data_Li2NiP5O15
_chemical_formula_sum 'Li8 Ni4 P20 O60'
_cell_length_a 7.7359
_cell_length_b 11.5393
_cell_length_c 13.7156
_cell_angle_alpha 90.00
_cell_angle_beta 103.60
_cell_angle_gamma 90.00
_space_group_name_H-M_alt 'C 1 c 1'
_space_group_IT_number 9
loop_
_space_group_symop_operation_xyz
'x,y,z'
'x,-y,z+1/2'
'x+1/2,y+1/2,z'
'x+1/2,-y+1/2,z+1/2'
loop_
_atom_site_label
_atom_site_fract_x
_atom_site_fract_y
_atom_site_fract_z
Li1 0.0000 0.0380 0.0000
Li2 0.2510 0.2588 0.4145
Ni1 0.2821 0.3720 0.8460
P1 0.0811 0.1127 0.8015
P2 0.2084 0.3738 0.6031
P3 0.3996 0.0453 0.5736
P4 0.4075 0.3077 0.0915
P5 0.4591 0.0896 0.7955
O1 0.0001 0.1045 0.6800
O2 0.0067 0.2955 0.3464
O3 0.0627 0.2743 0.5744
O4 0.0817 0.4893 0.8197
O5 0.0916 0.4908 0.5888
O6 0.1073 0.2368 0.8345
O7 0.2561 0.0481 0.0538
O8 0.2646 0.2397 0.1245
O9 0.2669 0.0464 0.8097
O10 0.3103 0.3655 0.7091
O11 0.3120 0.3705 0.5242
O12 0.3640 0.1286 0.4879
O13 0.3665 0.3832 0.9986
O14 0.4111 0.1150 0.6748
O15 0.4695 0.4612 0.3531

=====

2) # Li2NiP5O15, optimized geometry, DFT GGA+U
# D(E_F): 10.6 states/eV/cell
# total magnetization: 4.79 μB per cell
data_Li2NiP5O15
_chemical_formula_sum 'Li4 Ni2 P10 O30'
_cell_length_a 5.1140
_cell_length_b 9.2596
_cell_length_c 13.1831
_cell_angle_alpha 90.00
_cell_angle_beta 109.93
_cell_angle_gamma 90.00
_space_group_name_H-M_alt 'P 1 c 1'
_space_group_IT_number 7
loop_
_space_group_symop_operation_xyz
'x,y,z'
'x,-y,z+1/2'
loop_
_atom_site_label
_atom_site_fract_x
_atom_site_fract_y
_atom_site_fract_z
Li1 0.0000 0.1510 0.0000
Li2 0.0936 0.1582 0.3980
Ni1 0.0507 0.4986 0.9522
P1 0.0510 0.4949 0.2021
P2 0.4609 0.3178 0.8627
P3 0.4954 0.0106 0.8075
P4 0.5986 0.0129 0.5924
P5 0.6389 0.3203 0.5406
O1 0.0105 0.4168 0.2958
O2 0.0922 0.4165 0.1088
O3 0.2882 0.1095 0.2909
O4 0.3142 0.0085 0.0096
O5 0.3155 0.3966 0.7491
O6 0.3267 0.3230 0.5109
O7 0.3470 0.3665 0.9482
O8 0.3523 0.1549 0.8311
O9 0.5471 0.0609 0.7002
O10 0.7458 0.1570 0.5710
O11 0.7529 0.3699 0.4554
O12 0.7733 0.3198 0.8925
O13 0.7796 0.0139 0.3897
O14 0.7852 0.3974 0.6548
O15 0.8031 0.1083 0.1073

=====

We find 2) to be the most stable, with the next structure 28 meV/atom higher.

=====

1) # LiNiSbO4, optimized geometry, DFT GGA+U
# D(E_F): 0.0 states/eV/cell
# total magnetization: 8.00 μB per cell
data_LiNiSbO4
_chemical_formula_sum 'Li4 Ni4 Sb4 O16'
_cell_length_a 6.0402
_cell_length_b 6.2041
_cell_length_c 8.6400
_cell_angle_alpha 90.00
_cell_angle_beta 90.00
_cell_angle_gamma 90.00
_space_group_name_H-M_alt 'I m m a'
_space_group_IT_number 74
_space_group_name_Hall '-I 2b 2'
loop_
_atom_site_label
_atom_site_fract_x
_atom_site_fract_y
_atom_site_fract_z
Li1 0.0000 0.2500 0.1432
Ni1 0.2500 0.2500 0.7500
Sb1 0.0000 0.0000 0.5000
O1 0.0000 0.0199 0.7272
O2 0.2269 0.2500 0.5022

=====

2) # LiNiSbO4, optimized geometry, DFT GGA+U
# total magnetization: 8.00 μB per cell
data_LiNiSbO4
_chemical_formula_sum 'Li4 Ni4 Sb4 O16'
_cell_length_a 10.7156
_cell_length_b 6.0230
_cell_length_c 5.2068
_cell_angle_alpha 90.00
_cell_angle_beta 90.00
_cell_angle_gamma 90.00
_space_group_name_H-M_alt 'P n m a'
_space_group_IT_number 62
loop_
_space_group_symop_operation_xyz
'x,y,z'
'-x,-y,-z'
'-x+1/2,-y,z+1/2'
'x+1/2,y,-z+1/2'
'x+1/2,-y+1/2,-z+1/2'
'-x+1/2,y+1/2,z+1/2'
'-x,y+1/2,-z'
'x,-y+1/2,z'
loop_
_atom_site_label
_atom_site_fract_x
_atom_site_fract_y
_atom_site_fract_z
Li1 0.0000 0.0000 0.0000
Ni1 0.2322 0.2500 0.4954
Sb1 0.0989 0.7500 0.5368
O1 0.0628 0.2500 0.3064
O2 0.0930 0.7500 0.1724
O3 0.1774 0.5136 0.7258

=====

We find 1) to be the most stable, with the next structure 185 meV/atom higher.